(1)
Entry from Alexandria via LeMat-Bulk: NaHgI2N at its PBEsol-relaxed geometry (SCAN).

Cell lengths 5.8447, 5.8447, 4.4801 Å; angles 90.00, 90.00, 90.00 degrees
Last column: nearest neighbours and their distance in Å.
Fractional coordinates of all 5 atoms:
Na 0.0000 0.0000 0.0000  2 N 2.24
Hg 0.5000 0.5000 0.5000  8 I 3.68
I 0.0000 0.5000 0.0000  2 Na 2.92
I 0.5000 0.0000 0.0000  2 Na 2.92
N 0.0000 0.0000 0.5000  2 Na 2.24

Output
* total magnetic moment: 3.05 μB/cell
* crystal system: tetragonal
* E_form (uncorrected): 13.0 kcal/mol of atoms

=====

(2)
Entry from Alexandria via LeMat-Bulk: MgZrCd2 at its PBEsol-relaxed geometry (SCAN).

Cell lengths 10.3428, 10.3428, 10.3428 Å; angles 17.12, 17.12, 17.12 degrees
Last column: nearest neighbours and their distance in Å.
Fractional coordinates of all 4 atoms:
Mg 0.0000 0.0000 0.0000  6 Cd 3.07, 6 Mg 3.08
Zr 0.5000 0.5000 0.5000  6 Zr 3.08, 6 Cd 3.15
Cd 0.2516 0.2516 0.2516  3 Mg 3.07, 6 Cd 3.08, 3 Zr 3.15
Cd 0.7484 0.7484 0.7484  3 Mg 3.07, 6 Cd 3.08, 3 Zr 3.15

Output
* formation enthalpy at 0 K: -0.0747 eV/atom
* total magnetic moment: 0.00 μB/cell
* crystal system: trigonal